{"formula": "SbTe2MoI", "functional": "GGA-PBE", "state": "optimized geometry", "relative_energy_mev_per_atom": 0.0, "spacegroup": "No. 123", "e_tot_ev_per_atom": -4.2582, "rho_g_cm3": 6.589, "volume_a3_per_cell": 151.2, "raw_formation_energy_ev_per_atom": 0.299, "lattice": [[-4.664, -1.658, -1.738], [2.255, -4.329, -1.921], [-0.866, -2.571, 4.776]], "species": ["Sb", "Te", "Te", "Mo", "I"], "frac_coords": [[0.000, 0.000, 0.500], [0.500, 0.000, 0.000], [0.000, 0.500, 0.000], [0.000, 0.000, 0.000], [0.500, 0.500, 0.500]]}